1.
First-principles (PBE-GGA) data for a relaxed TbGa4NiPt2 crystal, as listed in the Alexandria database.

Cell: 8.8980 8.8980 8.8980 Å, 27.69 27.69 27.69°
Atoms (fractional coordinates):
Tb  0.0000  0.0000  0.0000
Ga  0.1352  0.1352  0.1352
Ga  0.3993  0.3993  0.3993
Ga  0.6007  0.6007  0.6007
Ga  0.8648  0.8648  0.8648
Ni  0.5000  0.5000  0.5000
Pt  0.2403  0.2403  0.2403
Pt  0.7597  0.7597  0.7597

Results
Energy relative to the elements ... -0.651 eV per atom
DOS at the Fermi energy ... 3.56 states/eV/f.u.
Total energy ... -4.9762 eV per atom
Mass density ... 10.96 Mg/m³
Space group ... R-3m

---

2.
First-principles (PBE-GGA) data for a relaxed Li3Cd2 crystal, as listed in the Alexandria database.

Cell: 7.6997 7.6997 4.8570 Å, 90.00 90.00 40.40°
Atoms (fractional coordinates):
Li  0.0431  0.3522  0.2500
Li  0.1528  0.8472  0.7500
Li  0.3522  0.0431  0.7500
Li  0.6478  0.9569  0.2500
Li  0.8472  0.1528  0.2500
Li  0.9569  0.6478  0.7500
Cd  0.2346  0.5580  0.2500
Cd  0.4420  0.7654  0.2500
Cd  0.5580  0.2346  0.7500
Cd  0.7654  0.4420  0.7500

Results
Energy relative to the elements ... -0.220 eV per atom
DOS at the Fermi energy ... 2.03 states/eV/f.u.
Energy relative to the lowest polymorph listed for this composition ... 0.000 eV/atom
Total energy ... -1.7347 eV per atom
Mass density ... 4.37 Mg/m³
Space group ... Cmcm

---

3.
First-principles (PBE-GGA) data for a relaxed BaFe2AgCl8 crystal, as listed in the Alexandria database.

Cell: 6.5836 6.5836 9.1378 Å, 90.00 90.00 120.00°
Atoms (fractional coordinates):
Ba  0.0000  0.0000  0.0000
Fe  0.3333  0.6667  0.7622
Fe  0.6667  0.3333  0.2378
Ag  0.0000  0.0000  0.5000
Cl  0.0233  0.3185  0.7023
Cl  0.2952  0.9767  0.7023
Cl  0.3185  0.2952  0.2977
Cl  0.3333  0.6667  0.0081
Cl  0.6667  0.3333  0.9919
Cl  0.6815  0.7048  0.7023
Cl  0.7048  0.0233  0.2977
Cl  0.9767  0.6815  0.2977

Results
ΔE_f (raw) ... -1.120 eV/atom
DOS at the Fermi energy ... 8.79 states/eV/f.u.
Total energy ... -4.1593 eV per atom
Mass density ... 3.10 Mg/m³
Space group ... P-3

---

4.
First-principles (PBE-GGA) data for a relaxed Cr2CoSi crystal, as listed in the Alexandria database.

Cell: 2.5663 2.5663 6.8792 Å, 90.00 90.00 90.00°
Atoms (fractional coordinates):
Cr  0.0000  0.0000  0.2473
Cr  0.0000  0.0000  0.7527
Co  0.5000  0.5000  0.0000
Si  0.5000  0.5000  0.5000

Results
ΔE_f (raw) ... -0.047 eV/atom
DOS at the Fermi energy ... 4.05 states/eV/f.u.
Total energy ... -7.9907 eV per atom
Mass density ... 7.00 Mg/m³
Space group ... P4/mmm

---

5.
First-principles (PBE-GGA) data for a relaxed Ca2OsBr crystal, as listed in the Alexandria database.

Cell: 4.2097 4.2097 5.8600 Å, 90.00 90.00 90.00°
Atoms (fractional coordinates):
Ca  0.0000  0.0000  0.0000
Ca  0.5000  0.5000  0.4972
Os  0.0000  0.0000  0.4983
Br  0.5000  0.5000  0.9972

Results
ΔE_f (raw) ... -0.033 eV/atom
DOS at the Fermi energy ... 4.98 states/eV/f.u.
Energy relative to the lowest polymorph listed for this composition ... 0.319 eV/atom
Total energy ... -4.2590 eV per atom
Mass density ... 5.60 Mg/m³
Space group ... P4mm